1.
Density functional theory data (PBE) for crystalline Ba3Ac3RhO8 at its relaxed geometry.

Calculated values
symmetry = No. 12
formation energy (no corrections) = -2375 meV per atom

Cell lengths 7.5127, 7.5127, 7.6123 Å; angles 119.58, 119.58, 60.05 degrees
Atoms (fractional coordinates):
1 Ba 0.0000 0.0000 0.0000
2 Ba 0.0000 0.5000 0.0000
3 Ba 0.5000 0.0000 0.0000
4 Ac 0.0000 0.5000 0.5000
5 Ac 0.5000 0.0000 0.5000
6 Ac 0.5000 0.5000 0.5000
7 Rh 0.0000 0.0000 0.5000
8 O 0.2388 0.2388 0.7133
9 O 0.2401 0.7343 0.7145
10 O 0.2571 0.2571 0.2714
11 O 0.2657 0.7599 0.2855
12 O 0.7343 0.2401 0.7145
13 O 0.7429 0.7429 0.7286
14 O 0.7599 0.2657 0.2855
15 O 0.7612 0.7612 0.2867



2.
Density functional theory data (PBE) for crystalline Tb5Pr6Sc2 at its relaxed geometry.

Calculated values
calculated formation energy = 0.15 eV/atom
symmetry = No. 55

Cell lengths 10.8874, 22.7701, 3.5186 Å; angles 90.00, 90.00, 90.00 degrees
Atoms (fractional coordinates):
1 Tb 0.0000 0.0000 0.0000
2 Tb 0.0848 0.2506 0.0000
3 Tb 0.1653 0.5064 0.0000
4 Tb 0.3347 0.0064 0.0000
5 Tb 0.4152 0.7506 0.0000
6 Tb 0.5000 0.5000 0.0000
7 Tb 0.5848 0.2494 0.0000
8 Tb 0.6653 0.9936 0.0000
9 Tb 0.8347 0.4936 0.0000
10 Tb 0.9152 0.7494 0.0000
11 Pr 0.0289 0.3869 0.5000
12 Pr 0.1402 0.1159 0.5000
13 Pr 0.1657 0.8607 0.0000
14 Pr 0.3343 0.3607 0.0000
15 Pr 0.3598 0.6159 0.5000
16 Pr 0.4711 0.8869 0.5000
17 Pr 0.5289 0.1131 0.5000
18 Pr 0.6402 0.3841 0.5000
19 Pr 0.6657 0.6393 0.0000
20 Pr 0.8343 0.1393 0.0000
21 Pr 0.8598 0.8841 0.5000
22 Pr 0.9711 0.6131 0.5000
23 Sc 0.1654 0.7276 0.5000
24 Sc 0.3346 0.2276 0.5000
25 Sc 0.6654 0.7724 0.5000
26 Sc 0.8346 0.2724 0.5000



3.
Density functional theory data (PBE) for crystalline TeRhPb2 at its relaxed geometry.

Calculated values
symmetry = No. 10
formation energy (no corrections) = -16 meV per atom

Cell lengths 5.1569, 4.2579, 5.5724 Å; angles 90.00, 107.06, 90.00 degrees
Atoms (fractional coordinates):
1 Te 0.0000 0.0000 0.0000
2 Rh 0.5000 0.0000 0.0000
3 Pb 0.2978 0.5000 0.6736
4 Pb 0.7022 0.5000 0.3264



4.
Density functional theory data (PBE) for crystalline K3Sc3TcO8 at its relaxed geometry.

Calculated values
symmetry = No. 166
formation energy (no corrections) = -2511 meV per atom

Cell lengths 7.2437, 7.2437, 7.2437 Å; angles 52.33, 52.33, 52.33 degrees
Atoms (fractional coordinates):
1 K 0.0000 0.5000 0.5000
2 K 0.5000 0.0000 0.5000
3 K 0.5000 0.5000 0.0000
4 Sc 0.0000 0.0000 0.5000
5 Sc 0.0000 0.5000 0.0000
6 Sc 0.5000 0.0000 0.0000
7 Tc 0.5000 0.5000 0.5000
8 O 0.2242 0.2242 0.2242
9 O 0.2349 0.7181 0.7181
10 O 0.2819 0.2819 0.7651
11 O 0.2819 0.7651 0.2819
12 O 0.7181 0.2349 0.7181
13 O 0.7181 0.7181 0.2349
14 O 0.7651 0.2819 0.2819
15 O 0.7758 0.7758 0.7758



5.
Density functional theory data (PBE) for crystalline BaCdIr4 at its relaxed geometry.

Calculated values
calculated formation energy = 0.19 eV/atom
symmetry = No. 216

Cell lengths 5.4678, 5.4678, 5.4678 Å; angles 60.00, 60.00, 60.00 degrees
Atoms (fractional coordinates):
1 Ba 0.0000 0.0000 0.0000
2 Cd 0.7500 0.7500 0.7500
3 Ir 0.3755 0.3755 0.3755
4 Ir 0.3755 0.3755 0.8735
5 Ir 0.3755 0.8735 0.3755
6 Ir 0.8735 0.3755 0.3755



6.
Density functional theory data (PBE) for crystalline SrBiCl2 at its relaxed geometry.

Calculated values
symmetry = No. 225
formation energy (no corrections) = -958 meV per atom

Cell lengths 5.4938, 5.4938, 5.4938 Å; angles 60.00, 60.00, 60.00 degrees
Atoms (fractional coordinates):
1 Sr 0.0000 0.0000 0.0000
2 Bi 0.5000 0.5000 0.5000
3 Cl 0.2500 0.2500 0.2500
4 Cl 0.7500 0.7500 0.7500



7.
Density functional theory data (PBE) for crystalline GdZnAgGe at its relaxed geometry.

Calculated values
calculated formation energy = -0.32 eV/atom
symmetry = No. 216

Cell lengths 4.8374, 4.8374, 4.8374 Å; angles 60.00, 60.00, 60.00 degrees
Atoms (fractional coordinates):
1 Gd 0.0000 0.0000 0.0000
2 Zn 0.2500 0.2500 0.2500
3 Ag 0.5000 0.5000 0.5000
4 Ge 0.7500 0.7500 0.7500



8.
Density functional theory data (PBE) for crystalline LaFeH3 at its relaxed geometry.

Calculated values
symmetry = No. 221

Cell lengths 4.3360, 4.3360, 4.3360 Å; angles 90.00, 90.00, 90.00 degrees
Atoms (fractional coordinates):
1 La 0.0000 0.0000 0.0000
2 Fe 0.5000 0.5000 0.5000
3 H 0.0000 0.0000 0.5000
4 H 0.0000 0.5000 0.0000
5 H 0.5000 0.0000 0.0000



9.
Density functional theory data (PBE) for crystalline TaAl2HF at its relaxed geometry.

Calculated values
symmetry = No. 123

Cell lengths 5.2966, 5.2966, 3.3458 Å; angles 90.00, 90.00, 90.00 degrees
Atoms (fractional coordinates):
1 Ta 0.0000 0.0000 0.0000
2 Al 0.0000 0.5000 0.0000
3 Al 0.5000 0.0000 0.0000
4 H 0.0000 0.0000 0.5000
5 F 0.5000 0.5000 0.5000



10.
Density functional theory data (PBE) for crystalline UTaNbC3 at its relaxed geometry.

Calculated values
calculated formation energy = -0.44 eV/atom
symmetry = No. 11

Cell lengths 5.5888, 3.2213, 8.5577 Å; angles 90.00, 102.51, 90.00 degrees
Atoms (fractional coordinates):
1 U 0.1480 0.2500 0.1967
2 U 0.8520 0.7500 0.8033
3 Ta 0.2697 0.7500 0.5517
4 Ta 0.7303 0.2500 0.4483
5 Nb 0.3715 0.2500 0.8633
6 Nb 0.6285 0.7500 0.1367
7 C 0.0546 0.2500 0.6591
8 C 0.2343 0.7500 0.9942
9 C 0.4538 0.7500 0.3457
10 C 0.5462 0.2500 0.6543
11 C 0.7657 0.2500 0.0058
12 C 0.9454 0.7500 0.3409



11.
Density functional theory data (PBE) for crystalline Pu3ThAl8 at its relaxed geometry.

Calculated values
calculated formation energy = -0.37 eV/atom
symmetry = No. 156

Cell lengths 5.6192, 5.6192, 8.8126 Å; angles 90.00, 90.00, 120.00 degrees
Atoms (fractional coordinates):
1 Pu 0.0000 0.0000 0.0000
2 Pu 0.0000 0.0000 0.3193
3 Pu 0.3333 0.6667 0.8410
4 Th 0.3333 0.6667 0.4870
5 Al 0.0116 0.5058 0.1609
6 Al 0.3205 0.1602 0.6648
7 Al 0.4942 0.5058 0.1609
8 Al 0.4942 0.9884 0.1609
9 Al 0.6667 0.3333 0.4095
10 Al 0.6667 0.3333 0.9135
11 Al 0.8398 0.1602 0.6648
12 Al 0.8398 0.6795 0.6648



12.
Density functional theory data (PBE) for crystalline Sr2SmSb3Pd4 at its relaxed geometry.

Calculated values
symmetry = No. 115
formation energy (no corrections) = -848 meV per atom

Cell lengths 4.6215, 4.6215, 11.5617 Å; angles 90.00, 90.00, 90.00 degrees
Atoms (fractional coordinates):
1 Sr 0.0000 0.5000 0.2213
2 Sr 0.5000 0.0000 0.7787
3 Sm 0.0000 0.0000 0.5000
4 Sb 0.0000 0.5000 0.8755
5 Sb 0.5000 0.0000 0.1245
6 Sb 0.5000 0.5000 0.5000
7 Pd 0.0000 0.0000 0.0000
8 Pd 0.0000 0.5000 0.6470
9 Pd 0.5000 0.0000 0.3530
10 Pd 0.5000 0.5000 0.0000



13.
Density functional theory data (PBE) for crystalline NaTl3In8 at its relaxed geometry.

Calculated values
calculated formation energy = -0.01 eV/atom
symmetry = No. 156

Cell lengths 6.3971, 6.3971, 9.8285 Å; angles 90.00, 90.00, 120.00 degrees
Atoms (fractional coordinates):
1 Na 0.0000 0.0000 0.0000
2 Tl 0.0000 0.0000 0.3603
3 Tl 0.6667 0.3333 0.5025
4 Tl 0.6667 0.3333 0.8683
5 In 0.1604 0.3209 0.6817
6 In 0.1604 0.8396 0.6817
7 In 0.3333 0.6667 0.4344
8 In 0.3333 0.6667 0.9315
9 In 0.5052 0.0105 0.1836
10 In 0.5052 0.4948 0.1836
11 In 0.6791 0.8396 0.6817
12 In 0.9895 0.4948 0.1836



14.
Density functional theory data (PBE) for crystalline TiTlNiS2 at its relaxed geometry.

Calculated values
symmetry = No. 13
formation energy (no corrections) = -686 meV per atom

Cell lengths 7.6915, 4.9785, 5.7796 Å; angles 90.00, 109.81, 90.00 degrees
Atoms (fractional coordinates):
1 Ti 0.0000 0.0016 0.2500
2 Ti 0.0000 0.9984 0.7500
3 Tl 0.5000 0.2759 0.7500
4 Tl 0.5000 0.7241 0.2500
5 Ni 0.0000 0.5000 0.0000
6 Ni 0.0000 0.5000 0.5000
7 S 0.2199 0.2117 0.0979
8 S 0.2199 0.7883 0.5979
9 S 0.7801 0.2117 0.4021
10 S 0.7801 0.7883 0.9021



15.
Density functional theory data (PBE) for crystalline Ho2PuZr at its relaxed geometry.

Calculated values
calculated formation energy = 0.34 eV/atom
symmetry = No. 166

Cell lengths 12.0034, 12.0034, 12.0034 Å; angles 15.74, 15.74, 15.74 degrees
Atoms (fractional coordinates):
1 Ho 0.0880 0.0880 0.0880
2 Ho 0.9120 0.9120 0.9120
3 Pu 0.5000 0.5000 0.5000
4 Zr 0.0000 0.0000 0.0000



16.
Density functional theory data (PBE) for crystalline Zr2NbAl at its relaxed geometry.

Calculated values
calculated formation energy = -0.22 eV/atom
symmetry = No. 123

Cell lengths 4.4864, 4.4864, 3.9492 Å; angles 90.00, 90.00, 90.00 degrees
Atoms (fractional coordinates):
1 Zr 0.0000 0.5000 0.0000
2 Zr 0.5000 0.0000 0.0000
3 Nb 0.0000 0.0000 0.5000
4 Al 0.5000 0.5000 0.5000



17.
Density functional theory data (PBE) for crystalline BaCuGe8Pd2 at its relaxed geometry.

Calculated values
calculated formation energy = -0.11 eV/atom
symmetry = No. 148

Cell lengths 8.8864, 8.8864, 8.8864 Å; angles 38.05, 38.05, 38.05 degrees
Atoms (fractional coordinates):
1 Ba 0.0000 0.0000 0.0000
2 Cu 0.5000 0.5000 0.5000
3 Ge 0.0798 0.4256 0.8510
4 Ge 0.1490 0.9202 0.5744
5 Ge 0.3869 0.3869 0.3869
6 Ge 0.4256 0.8510 0.0798
7 Ge 0.5744 0.1490 0.9202
8 Ge 0.6131 0.6131 0.6131
9 Ge 0.8510 0.0798 0.4256
10 Ge 0.9202 0.5744 0.1490
11 Pd 0.2810 0.2810 0.2810
12 Pd 0.7190 0.7190 0.7190



18.
Density functional theory data (PBE) for crystalline LaGa2AgAu4 at its relaxed geometry.

Calculated values
calculated formation energy = -0.39 eV/atom
symmetry = No. 166

Cell lengths 9.5938, 9.5938, 9.5938 Å; angles 27.38, 27.38, 27.38 degrees
Atoms (fractional coordinates):
1 La 0.0000 0.0000 0.0000
2 Ga 0.2420 0.2420 0.2420
3 Ga 0.7580 0.7580 0.7580
4 Ag 0.5000 0.5000 0.5000
5 Au 0.1260 0.1260 0.1260
6 Au 0.3958 0.3958 0.3958
7 Au 0.6042 0.6042 0.6042
8 Au 0.8740 0.8740 0.8740



19.
Density functional theory data (PBE) for crystalline BaCdSi2Sn at its relaxed geometry.

Calculated values
symmetry = No. 123
formation energy (no corrections) = 421 meV per atom

Cell lengths 5.2155, 5.2155, 5.5845 Å; angles 90.00, 90.00, 90.00 degrees
Atoms (fractional coordinates):
1 Ba 0.0000 0.0000 0.0000
2 Cd 0.5000 0.5000 0.5000
3 Si 0.0000 0.5000 0.5000
4 Si 0.5000 0.0000 0.5000
5 Sn 0.5000 0.5000 0.0000



20.
Density functional theory data (PBE) for crystalline Nd2InBr2 at its relaxed geometry.

Calculated values
symmetry = No. 166
formation energy (no corrections) = -1190 meV per atom

Cell lengths 11.9567, 11.9567, 11.9567 Å; angles 19.98, 19.98, 19.98 degrees
Atoms (fractional coordinates):
1 Nd 0.1059 0.1059 0.1059
2 Nd 0.8941 0.8941 0.8941
3 In 0.5000 0.5000 0.5000
4 Br 0.2797 0.2797 0.2797
5 Br 0.7203 0.7203 0.7203



21.
Density functional theory data (PBE) for crystalline V2SbPbI at its relaxed geometry.

Calculated values
symmetry = No. 123
formation energy (no corrections) = 1284 meV per atom

Cell lengths 5.3968, 5.3968, 5.7614 Å; angles 90.00, 90.00, 90.00 degrees
Atoms (fractional coordinates):
1 V 0.0000 0.5000 0.0000
2 V 0.5000 0.0000 0.0000
3 Sb 0.0000 0.0000 0.5000
4 Pb 0.0000 0.0000 0.0000
5 I 0.5000 0.5000 0.5000



no.,VASP energy (eV/atom),calculated density (g cm⁻³)
1,-6.716,7.2
2,-4.811,6.6
3,-4.494,9.2
4,-7.332,3.6
5,-6.193,14.6
6,-3.272,5.2
7,-6.026,8.4
8,-3.801,4.0
9,-4.597,4.5
10,-10.588,12.1
11,-7.061,8.1
12,-4.970,7.5
13,-2.537,7.4
14,-5.545,6.0
15,-7.669,10.0
16,-7.945,6.3
17,-4.555,6.9
18,-3.757,11.8
19,-3.117,4.6
20,-4.314,5.4
21,-4.240,5.5